[1]
The following is a PBE-GGA calculation of crystalline CrS3Cl at its relaxed geometry, from Alexandria via LeMat-Bulk.

Computed properties:
Distance to the lowest polymorph of the same formula   0.0 meV/atom
Energy relative to the elements, uncorrected   24 kJ/mol of atoms
Symmetry   Pm-3m, No. 221

POSCAR file:
```
CrS3Cl
1.0
-3.0812 1.7620 2.7010
0.3368 -3.5395 2.6931
3.2073 2.0643 2.3121
Cl Cr S
1 1 3
Direct
0.5000 0.5000 0.5000
0.0000 0.0000 0.0000
0.0000 0.0000 0.5000
0.5000 0.0000 0.0000
0.0000 0.5000 0.0000
```


[2]
The following is a PBE-GGA calculation of crystalline CrSCl3 at its relaxed geometry, from Alexandria via LeMat-Bulk.

Computed properties:
Distance to the lowest polymorph of the same formula   0.0 meV/atom
Energy relative to the elements, uncorrected   22 kJ/mol of atoms
Symmetry   Pm-3m, No. 221

POSCAR file:
```
CrSCl3
1.0
4.5988 0.0000 0.0000
0.0000 4.5988 0.0000
0.0000 0.0000 4.5988
Cr Cl S
1 3 1
Direct
0.0000 0.0000 0.0000
0.5000 0.0000 0.0000
0.0000 0.0000 0.5000
0.0000 0.5000 0.0000
0.5000 0.5000 0.5000
```


[3]
The following is a PBE-GGA calculation of crystalline CrS4Cl at its relaxed geometry, from Alexandria via LeMat-Bulk.

Computed properties:
Energy relative to the elements, uncorrected   -32 kJ/mol of atoms
Symmetry   C2/c, No. 15

POSCAR file:
```
CrS4Cl
1.0
0.5398 -6.2513 4.3612
5.3043 5.4981 -0.1571
-0.6195 2.3267 5.3971
S Cr Cl
8 2 2
Direct
0.1839 0.9184 0.4729
0.8400 0.6938 0.6146
0.6938 0.8400 0.1146
0.0816 0.8161 0.0271
0.3062 0.1600 0.8854
0.8161 0.0816 0.5271
0.9184 0.1839 0.9729
0.1600 0.3062 0.3854
0.9992 0.0008 0.2500
0.0008 0.9992 0.7500
0.3640 0.6360 0.7500
0.6360 0.3640 0.2500
```


[4]
The following is a PBE-GGA calculation of crystalline CrSCl2 at its relaxed geometry, from Alexandria via LeMat-Bulk.

Computed properties:
Distance to the lowest polymorph of the same formula   0.0 meV/atom
Energy relative to the elements, uncorrected   -26 kJ/mol of atoms
Symmetry   I-42d, No. 122

POSCAR file:
```
CrSCl2
1.0
-7.3757 -0.9064 -4.6423
-1.8638 -7.3470 4.3957
-5.6909 -2.9717 1.3530
Cl S Cr
4 2 2
Direct
0.7774 0.1250 0.2500
0.8750 0.0274 0.7500
0.3750 0.2226 0.7500
0.9726 0.6250 0.2500
0.5000 0.5000 0.0000
0.2500 0.7500 0.5000
0.7500 0.2500 0.5000
0.0000 0.0000 0.0000
```


[5]
The following is a PBE-GGA calculation of crystalline Cr2SCl at its relaxed geometry, from Alexandria via LeMat-Bulk.

Computed properties:
Distance to the lowest polymorph of the same formula   0.0 meV/atom
Energy relative to the elements, uncorrected   -21 kJ/mol of atoms
Symmetry   I-42d, No. 122

POSCAR file:
```
Cr2SCl
1.0
5.8175 0.0000 0.0000
0.0000 5.8175 0.0000
2.9087 2.9087 5.5505
Cl Cr S
2 4 2
Direct
0.7500 0.2500 0.5000
0.0000 0.0000 0.0000
0.1607 0.6250 0.2500
0.8750 0.8393 0.7500
0.5893 0.1250 0.2500
0.3750 0.4107 0.7500
0.2500 0.7500 0.5000
0.5000 0.5000 0.0000
```


[6]
The following is a PBE-GGA calculation of crystalline CrSbS2Cl at its relaxed geometry, from Alexandria via LeMat-Bulk.

Computed properties:
Distance to the lowest polymorph of the same formula   466.2 meV/atom
Energy relative to the elements, uncorrected   35 kJ/mol of atoms
Symmetry   P4/mmm, No. 123

POSCAR file:
```
CrSbS2Cl
1.0
5.0814 0.0000 0.0000
0.0000 5.0814 0.0000
0.0000 0.0000 5.1323
Sb Cr S Cl
1 1 2 1
Direct
0.0000 0.0000 0.0000
0.5000 0.5000 0.5000
0.5000 0.0000 0.0000
0.0000 0.5000 0.0000
0.0000 0.0000 0.5000
```